Record 1
Density functional theory data (GGA-PBE) for crystalline La2Tb3Er5 at its relaxed geometry.

Unit cell a=9.6316 b=9.6316 c=9.3578 alpha=108.06 beta=108.06 gamma=113.36
With the nearest neighbours (Å) after each atom.
Sites, in units of the cell vectors:
1 La 0.0154 0.2692 0.0480  2 Tb 3.12-3.30, 4 Er 3.33-3.46
2 La 0.2692 0.0154 0.5480  2 Tb 3.12-3.30, 4 Er 3.33-3.46
3 La 0.7308 0.9846 0.4520  2 Tb 3.12-3.30, 4 Er 3.33-3.46
4 La 0.9846 0.7308 0.9520  2 Tb 3.12-3.30, 4 Er 3.33-3.46
5 Tb 0.2216 0.4650 0.4519  1 La 3.12, 6 Er 3.31-3.49
6 Tb 0.2738 0.7262 0.2500  1 Er 3.20, 4 La 3.30-3.52, 2 Tb 3.56
7 Tb 0.4650 0.2216 0.9519  1 La 3.12, 6 Er 3.31-3.49
8 Tb 0.5350 0.7784 0.0481  1 La 3.12, 6 Er 3.31-3.49
9 Tb 0.7262 0.2738 0.7500  1 Er 3.20, 4 La 3.30-3.52, 2 Tb 3.56
10 Tb 0.7784 0.5350 0.5481  1 La 3.12, 6 Er 3.31-3.49
11 Er 0.0227 0.9773 0.7500  4 La 3.33-3.45, 3 Er 3.35-3.53, 2 Tb 3.40
12 Er 0.1508 0.3870 0.7788  3 Tb 3.39-3.69, 2 La 3.46-3.65, 3 Er 3.51-3.56
13 Er 0.2310 0.7690 0.7500  4 Tb 3.31-3.48, 3 Er 3.35-3.56, 2 La 3.44
14 Er 0.3870 0.1508 0.2788  3 Tb 3.39-3.69, 2 La 3.46-3.65, 3 Er 3.51-3.56
15 Er 0.4725 0.5275 0.2500  5 Tb 3.20-3.49, 2 Er 3.51, 2 La 3.52
16 Er 0.5275 0.4725 0.7500  5 Tb 3.20-3.49, 2 Er 3.51, 2 La 3.52
17 Er 0.6130 0.8492 0.7212  3 Tb 3.39-3.69, 2 La 3.46-3.65, 3 Er 3.51-3.56
18 Er 0.7690 0.2310 0.2500  4 Tb 3.31-3.48, 3 Er 3.35-3.56, 2 La 3.44
19 Er 0.8492 0.6130 0.2212  3 Tb 3.39-3.69, 2 La 3.46-3.65, 3 Er 3.51-3.56
20 Er 0.9773 0.0227 0.2500  4 La 3.33-3.45, 3 Er 3.35-3.53, 2 Tb 3.40

The calculation puts the total energy at -89.28 eV for the cell shown. For the energy of formation, the calculation gives 0.192 eV per atom. As for the magnetization: 0.00 μB/f.u.

Record 2
Density functional theory data (GGA-PBE) for crystalline La5Tb5Er2 at its relaxed geometry.

Unit cell a=8.1616 b=8.1616 c=11.4226 alpha=115.32 beta=115.32 gamma=36.72
With the nearest neighbours (Å) after each atom.
Sites, in units of the cell vectors:
1 La 0.0000 0.0000 0.0000  4 La 3.63, 8 Tb 3.65
2 La 0.0808 0.0808 0.7470  2 Er 3.60-3.64, 7 Tb 3.60-3.66, 3 La 3.63-3.69
3 La 0.2488 0.2488 0.2532  3 Er 3.56-3.60, 6 Tb 3.61-3.67, 3 La 3.63-3.69
4 La 0.7512 0.7512 0.7468  3 Er 3.56-3.60, 6 Tb 3.61-3.67, 3 La 3.63-3.69
5 La 0.9192 0.9192 0.2530  2 Er 3.60-3.64, 7 Tb 3.60-3.66, 3 La 3.63-3.69
6 Tb 0.3327 0.3327 0.0001  4 Tb 3.63-3.68, 8 La 3.64-3.67
7 Tb 0.4146 0.4146 0.7452  3 Er 3.58-3.59, 3 Tb 3.60-3.68, 6 La 3.61-3.65
8 Tb 0.5000 0.5000 0.5000  2 Tb 3.60, 6 La 3.60-3.63, 4 Er 3.65
9 Tb 0.5854 0.5854 0.2548  3 Er 3.58-3.59, 3 Tb 3.60-3.68, 6 La 3.61-3.65
10 Tb 0.6673 0.6673 0.9999  4 Tb 3.63-3.68, 8 La 3.64-3.67
11 Er 0.1673 0.1673 0.4993  5 La 3.56-3.64, 5 Tb 3.58-3.65, 2 Er 3.62
12 Er 0.8327 0.8327 0.5007  5 La 3.56-3.64, 5 Tb 3.58-3.65, 2 Er 3.62

The calculation puts the total energy at -56.58 eV for the cell shown. For the energy of formation, the calculation gives 0.028 eV per atom. As for the magnetization: 0.00 μB/f.u.

Record 3
Density functional theory data (GGA-PBE) for crystalline La5Tb4Er2 at its relaxed geometry.

Unit cell a=12.8861 b=12.8861 c=12.8861 alpha=164.19 beta=137.63 gamma=45.49
With the nearest neighbours (Å) after each atom.
Sites, in units of the cell vectors:
1 La 0.0000 0.0000 0.0000  4 Tb 3.41, 2 La 3.54
2 La 0.0547 0.3514 0.7033  3 Er 3.45-3.81, 3 Tb 3.51-3.68, 3 La 3.54-3.79
3 La 0.3518 0.6486 0.7033  3 Er 3.45-3.81, 3 Tb 3.51-3.68, 3 La 3.54-3.79
4 La 0.6482 0.3514 0.2967  3 Er 3.45-3.81, 3 Tb 3.51-3.68, 3 La 3.54-3.79
5 La 0.9453 0.6486 0.2967  3 Er 3.45-3.81, 3 Tb 3.51-3.68, 3 La 3.54-3.79
6 Tb 0.3126 0.5000 0.8126  7 Tb 3.39-3.54, 4 La 3.41-3.68
7 Tb 0.4033 0.9033 0.5000  1 Er 3.17, 6 Tb 3.39-3.54, 4 La 3.51
8 Tb 0.5967 0.0967 0.5000  1 Er 3.17, 6 Tb 3.39-3.54, 4 La 3.51
9 Tb 0.6874 0.5000 0.1874  7 Tb 3.39-3.54, 4 La 3.41-3.68
10 Er 0.2698 0.7698 0.5000  1 Tb 3.17, 2 La 3.45, 2 Er 3.54
11 Er 0.7302 0.2302 0.5000  1 Tb 3.17, 2 La 3.45, 2 Er 3.54

The calculation puts the total energy at -50.17 eV for the cell shown. For the energy of formation, the calculation gives 0.192 eV per atom. Its distance to the lowest polymorph of the same formula is 113.4 meV per atom. As for the magnetization: 0.00 μB/f.u.

Record 4
Density functional theory data (GGA-PBE) for crystalline La4Tb5Er3 at its relaxed geometry.

Unit cell a=8.6978 b=8.6978 c=9.5007 alpha=115.82 beta=115.82 gamma=40.28
With the nearest neighbours (Å) after each atom.
Sites, in units of the cell vectors:
1 La 0.0862 0.0862 0.4464  2 La 3.41-3.65, 6 Tb 3.46-3.80, 1 Er 3.50
2 La 0.2172 0.2172 0.8792  3 Er 3.41-3.54, 3 La 3.62-3.65, 3 Tb 3.71
3 La 0.7828 0.7828 0.1208  3 Er 3.41-3.54, 3 La 3.62-3.65, 3 Tb 3.71
4 La 0.9138 0.9138 0.5536  2 La 3.41-3.65, 6 Tb 3.46-3.80, 1 Er 3.50
5 Tb 0.0000 0.0000 0.0000  4 Er 2.99-3.16
6 Tb 0.3303 0.3303 0.6183  4 Er 3.23-3.51, 3 La 3.46-3.54, 1 Tb 3.61
7 Tb 0.4297 0.4297 0.2937  2 Er 3.30-3.48, 2 Tb 3.51-3.61
8 Tb 0.5703 0.5703 0.7063  2 Er 3.30-3.48, 2 Tb 3.51-3.61
9 Tb 0.6697 0.6697 0.3817  4 Er 3.23-3.51, 3 La 3.46-3.54, 1 Tb 3.61
10 Er 0.2140 0.2140 0.2357  5 Tb 3.16-3.51, 2 La 3.41-3.50
11 Er 0.5000 0.5000 0.0000  2 Tb 2.99
12 Er 0.7860 0.7860 0.7643  5 Tb 3.16-3.51, 2 La 3.41-3.50

The calculation puts the total energy at -53.89 eV for the cell shown. For the energy of formation, the calculation gives 0.222 eV per atom. As for the magnetization: 0.50 μB/f.u.

Record 5
Density functional theory data (GGA-PBE) for crystalline La3Tb8Er3 at its relaxed geometry.

Unit cell a=9.7501 b=9.7501 c=9.7501 alpha=145.96 beta=112.59 gamma=77.71
With the nearest neighbours (Å) after each atom.
Sites, in units of the cell vectors:
1 La 0.0000 0.0000 0.0000  4 Er 3.61, 4 La 3.99, 4 Tb 4.00
2 La 0.1837 0.6837 0.5000  2 Er 3.56, 8 Tb 3.66-3.70
3 La 0.8163 0.3163 0.5000  2 Er 3.56, 8 Tb 3.66-3.70
4 Tb 0.1196 0.2812 0.8384  6 Tb 3.35-3.56, 1 Er 3.63, 3 La 3.66-3.70
5 Tb 0.2391 0.8984 0.3406  5 Tb 3.09-3.45
6 Tb 0.4422 0.1016 0.3406  5 Tb 3.09-3.45
7 Tb 0.4428 0.2812 0.1616  6 Tb 3.35-3.56, 1 Er 3.63, 3 La 3.66-3.70
8 Tb 0.5572 0.7188 0.8384  6 Tb 3.35-3.56, 1 Er 3.63, 3 La 3.66-3.70
9 Tb 0.5578 0.8984 0.6594  5 Tb 3.09-3.45
10 Tb 0.7609 0.1016 0.6594  5 Tb 3.09-3.45
11 Tb 0.8804 0.7188 0.1616  6 Tb 3.35-3.56, 1 Er 3.63, 3 La 3.66-3.70
12 Er 0.2038 0.5000 0.7038  1 Er 3.20, 2 La 3.56, 4 Tb 3.57
13 Er 0.5000 0.5000 0.0000  2 Er 3.20
14 Er 0.7962 0.5000 0.2962  1 Er 3.20, 2 La 3.56, 4 Tb 3.57

The calculation puts the total energy at -64.10 eV for the cell shown. For the energy of formation, the calculation gives 0.101 eV per atom. As for the magnetization: 0.00 μB/f.u.

Record 6
Density functional theory data (GGA-PBE) for crystalline LaTbEr3 at its relaxed geometry.

Unit cell a=3.6613 b=11.5582 c=8.5312 alpha=90.00 beta=102.39 gamma=90.00
With the nearest neighbours (Å) after each atom.
Sites, in units of the cell vectors:
1 La 0.1912 0.2500 0.3825  6 Er 3.29-3.51, 2 Tb 3.43-3.44, 2 La 3.66
2 La 0.8088 0.7500 0.6175  6 Er 3.29-3.51, 2 Tb 3.43-3.44, 2 La 3.66
3 Tb 0.4848 0.7500 0.9658  2 Er 3.26, 2 La 3.43-3.44
4 Tb 0.5152 0.2500 0.0342  2 Er 3.26, 2 La 3.43-3.44
5 Er 0.1457 0.7500 0.2898  2 Tb 3.26, 2 La 3.29, 4 Er 3.39
6 Er 0.3450 0.0037 0.6906  6 Er 3.39-3.67, 2 La 3.51, 1 Tb 3.72
7 Er 0.3450 0.4963 0.6906  6 Er 3.39-3.67, 2 La 3.51, 1 Tb 3.72
8 Er 0.6550 0.5037 0.3094  6 Er 3.39-3.67, 2 La 3.51, 1 Tb 3.72
9 Er 0.6550 0.9963 0.3094  6 Er 3.39-3.67, 2 La 3.51, 1 Tb 3.72
10 Er 0.8543 0.2500 0.7102  2 Tb 3.26, 2 La 3.29, 4 Er 3.39

The calculation puts the total energy at -43.11 eV for the cell shown. For the energy of formation, the calculation gives 0.338 eV per atom. Its distance to the lowest polymorph of the same formula is 158.5 meV per atom. As for the magnetization: 0.00 μB/f.u.

Record 7
Density functional theory data (GGA-PBE) for crystalline La3Tb3Er4 at its relaxed geometry.

Unit cell a=3.6754 b=9.6025 c=9.6025 alpha=89.99 beta=90.00 gamma=90.00
With the nearest neighbours (Å) after each atom.
Sites, in units of the cell vectors:
1 La 0.0000 0.0000 0.0000  6 Er 3.36-3.47, 2 La 3.68
2 La 0.5000 0.3307 0.8238  4 La 3.68-4.04, 4 Er 3.71-3.90, 6 Tb 3.95-4.01
3 La 0.5000 0.8238 0.3307  4 La 3.68-4.04, 4 Er 3.71-3.90, 6 Tb 3.95-4.01
4 Tb 0.0000 0.1537 0.4999  6 Er 3.32-3.41, 2 Tb 3.68
5 Tb 0.0000 0.4999 0.1537  6 Er 3.32-3.41, 2 Tb 3.68
6 Tb 0.0000 0.6503 0.6503  6 Er 3.30-3.40, 2 Tb 3.68
7 Er 0.5000 0.2067 0.2067  3 Er 3.28-3.68, 2 La 3.36, 4 Tb 3.40
8 Er 0.5000 0.4485 0.4485  3 Er 3.28-3.68, 6 Tb 3.30-3.41
9 Er 0.5000 0.6981 0.9440  4 Tb 3.32-3.40, 3 Er 3.34-3.68, 3 La 3.47-3.71
10 Er 0.5000 0.9440 0.6981  4 Tb 3.32-3.40, 3 Er 3.34-3.68, 3 La 3.47-3.71

The calculation puts the total energy at -46.07 eV for the cell shown. For the energy of formation, the calculation gives 0.085 eV per atom. As for the magnetization: 0.22 μB/f.u.

Record 8
Density functional theory data (GGA-PBE) for crystalline La4Tb5Er2 at its relaxed geometry.

Unit cell a=12.5049 b=12.5049 c=12.5049 alpha=163.84 beta=135.99 gamma=47.18
With the nearest neighbours (Å) after each atom.
Sites, in units of the cell vectors:
1 La 0.0937 0.0937 0.0000  1 Er 3.09, 4 La 3.41
2 La 0.2117 0.5000 0.7117  4 Tb 3.22-3.55, 6 La 3.41-3.52
3 La 0.7883 0.5000 0.2883  4 Tb 3.22-3.55, 6 La 3.41-3.52
4 La 0.9063 0.9063 0.0000  1 Er 3.09, 4 La 3.41
5 Tb 0.1498 0.3495 0.8003  1 Er 3.35, 3 Tb 3.52-3.74, 3 La 3.55-3.56
6 Tb 0.4507 0.6505 0.8003  1 Er 3.35, 3 Tb 3.52-3.74, 3 La 3.55-3.56
7 Tb 0.5000 0.0000 0.5000  4 La 3.22, 2 Tb 3.52
8 Tb 0.5493 0.3495 0.1997  1 Er 3.35, 3 Tb 3.52-3.74, 3 La 3.55-3.56
9 Tb 0.8502 0.6505 0.1997  1 Er 3.35, 3 Tb 3.52-3.74, 3 La 3.55-3.56
10 Er 0.2285 0.2285 0.0000  1 La 3.09, 2 Tb 3.35
11 Er 0.7715 0.7715 0.0000  1 La 3.09, 2 Tb 3.35

The calculation puts the total energy at -48.84 eV for the cell shown. For the energy of formation, the calculation gives 0.286 eV per atom. Its distance to the lowest polymorph of the same formula is 219.7 meV per atom. As for the magnetization: 0.00 μB/f.u.